# 1
Below is a relaxed structure of YSi2Rh, with properties calculated at the PBE-GGA level.

The structure in POSCAR format:
```
YSi2Rh
1.0
-0.142 -2.263 -3.280
10.409 1.140 -1.237
2.068 -10.852 7.398
Si Y Rh
16 8 8
direct
0.750 0.544 0.470 Si
0.750 0.956 0.970 Si
0.750 0.543 0.123 Si
0.750 0.756 0.711 Si
0.250 0.456 0.530 Si
0.250 0.265 0.613 Si
0.250 0.457 0.877 Si
0.250 0.044 0.030 Si
0.750 0.744 0.211 Si
0.750 0.735 0.387 Si
0.250 0.235 0.113 Si
0.750 0.957 0.623 Si
0.250 0.043 0.377 Si
0.250 0.256 0.789 Si
0.250 0.244 0.289 Si
0.750 0.765 0.887 Si
0.250 0.971 0.800 Y
0.750 0.471 0.700 Y
0.750 0.255 0.448 Y
0.750 0.245 0.948 Y
0.750 0.029 0.200 Y
0.250 0.745 0.552 Y
0.250 0.529 0.300 Y
0.250 0.755 0.052 Y
0.750 0.327 0.195 Rh
0.750 0.553 0.937 Rh
0.750 0.947 0.437 Rh
0.250 0.447 0.063 Rh
0.250 0.673 0.805 Rh
0.250 0.827 0.305 Rh
0.250 0.053 0.563 Rh
0.750 0.173 0.695 Rh
```

N(E_F)   0.32 states/eV/atom

=====

# 2
Below is a relaxed structure of YSi2Rh, with properties calculated at the PBE-GGA level.

The structure in POSCAR format:
```
YSi2Rh
1.0
-8.031 2.176 -0.257
-7.656 1.558 2.872
-6.840 4.432 1.694
Y Si Rh
1 2 1
direct
0.498 0.498 0.498 Y
0.263 0.263 0.263 Si
0.003 0.003 0.003 Si
0.736 0.736 0.736 Rh
```

N(E_F)   0.82 states/eV/atom

=====

# 3
Below is a relaxed structure of YSi2Rh, with properties calculated at the PBE-GGA level.

The structure in POSCAR format:
```
YSi2Rh
1.0
4.058 0.000 0.000
0.000 4.059 0.000
0.000 0.000 4.122
Rh Si Y
1 2 1
direct
0.000 0.500 0.500 Rh
0.000 0.000 0.000 Si
0.500 0.500 0.000 Si
0.500 0.000 0.500 Y
```

N(E_F)   0.27 states/eV/atom

=====

# 4
Below is a relaxed structure of YSi2Rh4, with properties calculated at the PBE-GGA level.

The structure in POSCAR format:
```
YSi2Rh4
1.0
4.047 0.000 0.000
0.000 6.407 0.000
0.000 0.000 16.657
Rh Y Si
16 4 8
direct
0.250 0.268 0.696 Rh
0.250 0.232 0.196 Rh
0.750 0.732 0.304 Rh
0.750 0.498 0.574 Rh
0.250 0.145 0.529 Rh
0.750 0.855 0.471 Rh
0.250 0.355 0.029 Rh
0.750 0.313 0.316 Rh
0.250 0.502 0.426 Rh
0.250 0.813 0.184 Rh
0.250 0.998 0.926 Rh
0.750 0.002 0.074 Rh
0.750 0.645 0.971 Rh
0.750 0.768 0.804 Rh
0.750 0.187 0.816 Rh
0.250 0.687 0.684 Rh
0.750 0.507 0.138 Y
0.750 0.993 0.638 Y
0.250 0.007 0.362 Y
0.250 0.493 0.862 Y
0.750 0.027 0.217 Si
0.250 0.739 0.539 Si
0.750 0.261 0.461 Si
0.250 0.761 0.039 Si
0.250 0.973 0.783 Si
0.750 0.239 0.961 Si
0.750 0.473 0.717 Si
0.250 0.527 0.283 Si
```

N(E_F)   0.52 states/eV/atom

=====

# 5
Below is a relaxed structure of Y2Si3Rh2, with properties calculated at the PBE-GGA level.

The structure in POSCAR format:
```
Y2Si3Rh2
1.0
3.959 0.000 -0.944
0.000 6.945 0.000
0.055 0.000 9.007
Si Rh Y
6 4 4
direct
0.439 0.572 0.878 Si
0.561 0.428 0.122 Si
0.561 0.072 0.122 Si
0.439 0.928 0.878 Si
0.224 0.750 0.448 Si
0.776 0.250 0.552 Si
0.691 0.549 0.382 Rh
0.309 0.049 0.618 Rh
0.691 0.951 0.382 Rh
0.309 0.451 0.618 Rh
0.844 0.750 0.687 Y
0.944 0.250 0.888 Y
0.056 0.750 0.112 Y
0.156 0.250 0.313 Y
```

N(E_F)   0.48 states/eV/atom

=====

# 6
Below is a relaxed structure of Y2Si2Rh, with properties calculated at the PBE-GGA level.

The structure in POSCAR format:
```
Y2Si2Rh
1.0
4.217 -0.001 -0.002
2.110 5.297 0.188
2.113 0.144 8.854
Rh Si Y
2 4 4
direct
0.726 0.922 0.626 Rh
0.274 0.078 0.374 Rh
0.489 0.143 0.879 Si
0.640 0.285 0.435 Si
0.511 0.857 0.121 Si
0.360 0.715 0.565 Si
0.997 0.329 0.676 Y
0.185 0.738 0.892 Y
0.003 0.671 0.324 Y
0.815 0.262 0.108 Y
```

N(E_F)   0.77 states/eV/atom

=====

# 7
Below is a relaxed structure of YSi2Rh, with properties calculated at the PBE-GGA level.

The structure in POSCAR format:
```
YSi2Rh
1.0
3.748 0.000 0.000
0.000 4.209 -0.004
0.000 1.239 4.627
Si Y Rh
2 1 1
direct
0.500 0.038 0.299 Si
0.000 0.136 0.964 Si
0.000 0.504 0.402 Y
0.500 0.822 0.835 Rh
```

N(E_F)   0.36 states/eV/atom

=====

# 8
Below is a relaxed structure of YSiRh2, with properties calculated at the PBE-GGA level.

The structure in POSCAR format:
```
YSiRh2
1.0
4.592 0.000 0.000
2.296 3.976 0.000
2.296 1.325 3.749
Si Rh Y
1 2 1
direct
0.500 0.500 0.500 Si
0.000 0.000 0.000 Rh
0.750 0.750 0.750 Rh
0.250 0.250 0.250 Y
```

N(E_F)   1.52 states/eV/atom

=====

Going through the records in order, we get formation energy (no corrections) values of -3.67, -0.39, -1.88, -6.33, -6.79, -4.90, -2.24, -1.13 eV/f.u..